Record 1
VASP calculation (GGA-PBE) on Pm6HoTm4 after structural relaxation.

Cell: 6.6437 6.6437 16.9730 Å, 90.00 90.00 90.00°
Space group I-42m (No. 121)
Symmetry-distinct sites (fractional):
Pm: 0.0000 0.5000 0.0000 [4 per cell]
Pm: 0.1892 0.1892 0.1765 [8 per cell]
Ho: 0.0000 0.0000 0.0000 [2 per cell]
Tm: 0.1792 0.1792 0.3748 [8 per cell]

energy relative to the elements	0.31	eV/atom

Record 2
VASP calculation (GGA-PBE) on CrInReP after structural relaxation.

Cell: 2.9120 2.9120 14.9914 Å, 90.00 90.00 90.00°
Space group I4mm (No. 107)
Symmetry-distinct sites (fractional):
Cr: 0.0000 0.0000 0.0000 [2 per cell]
In: 0.0000 0.0000 0.2433 [2 per cell]
Re: 0.0000 0.0000 0.6051 [2 per cell]
P: 0.0000 0.0000 0.4194 [2 per cell]

ΔE to the lowest computed polymorph	0.000	eV/atom
energy relative to the elements	0.02	eV/atom

Record 3
VASP calculation (GGA-PBE) on TlTcCl2 after structural relaxation.

Cell: 3.4617 3.4617 28.3679 Å, 90.00 90.00 120.00°
Space group R-3m (No. 166, hexagonal axes)
Symmetry-distinct sites (fractional):
Tl: 0.0000 0.0000 0.0000 [3 per cell]
Tc: 0.0000 0.0000 0.5000 [3 per cell]
Cl: 0.0000 0.0000 0.1165 [6 per cell]

ΔE_f (raw)	-61	meV per atom
ΔE to the lowest computed polymorph	0.101	eV/atom